Record 1
Density functional theory data (PBE) for RbAg2PtF after structural relaxation.

space-group type	P4/mmm, No. 123

```
RbAg2PtF
1.0
-3.037 5.084 -0.751
-1.783 -1.738 -4.555
-4.712 -2.407 2.763
Rb Ag Pt F
1 2 1 1
direct
0.000 0.000 0.000
0.000 0.000 0.500
0.500 0.000 0.000
0.000 0.500 0.000
0.500 0.500 0.500
```

=====

Record 2
Density functional theory data (PBE) for RbAg2PtF8 after structural relaxation.

space-group type	P-1, No. 2

```
RbAg2PtF8
1.0
-3.417 2.345 2.506
-3.461 -2.125 -3.761
-1.991 -6.091 4.321
Rb Ag Pt F
1 2 1 8
direct
0.000 0.000 0.500
0.420 0.489 0.736
0.580 0.511 0.264
0.000 0.000 0.000
0.097 0.770 0.189
0.659 0.768 0.011
0.835 0.193 0.180
0.903 0.230 0.811
0.341 0.232 0.989
0.165 0.807 0.820
0.480 0.727 0.490
0.520 0.273 0.510
```

=====

Raw formation energy (computed, kJ/mol of atoms): 118.0, -146.5
Spin magnetization (computed, μB/atom): 0.000, 0.086
Density of states at the Fermi level (computed, states/eV/f.u.): 0.93, 1.54